Entry 1:
A relaxed Al2MoAu crystal. Source: Alexandria, functional PBE-GGA.

Cell lengths 4.7339, 4.7339, 2.8901 Å; angles 90.00, 90.00, 102.44 degrees
Positions (direct):
Al 0.0000 0.5000 0.0000
Al 0.5000 0.0000 0.0000
Mo 0.0000 0.0000 0.5000
Au 0.5000 0.5000 0.5000

## Properties
DOS at the Fermi energy (states/eV/cell): 1.58
Formation energy (eV/atom): -0.242
Volume (A^3/atom): 15.81
Distance to the lowest polymorph of the same formula (meV per atom): 57



Entry 2:
A relaxed Al2MoAu crystal. Source: Alexandria, functional PBE-GGA.

Cell lengths 4.5135, 4.5135, 4.5135 Å; angles 60.00, 60.00, 60.00 degrees
Positions (direct):
Al 0.0000 0.0000 0.0000
Al 0.2500 0.2500 0.2500
Mo 0.7500 0.7500 0.7500
Au 0.5000 0.5000 0.5000

## Properties
DOS at the Fermi energy (states/eV/cell): 5.71
Formation energy (eV/atom): 0.186
Volume (A^3/atom): 16.25
Distance to the lowest polymorph of the same formula (meV per atom): 485



Entry 3:
A relaxed AlMoAu3 crystal. Source: Alexandria, functional PBE-GGA.

Cell lengths 4.6598, 4.6598, 4.6598 Å; angles 90.00, 90.00, 90.00 degrees
Positions (direct):
Al 0.0000 0.0000 0.0000
Mo 0.5000 0.5000 0.5000
Au 0.0000 0.0000 0.5000
Au 0.0000 0.5000 0.0000
Au 0.5000 0.0000 0.0000

## Properties
DOS at the Fermi energy (states/eV/cell): 4.86
Formation energy (eV/atom): 0.939
Volume (A^3/atom): 20.24
Distance to the lowest polymorph of the same formula (meV per atom): 0



Entry 4:
A relaxed Al2MoAu crystal. Source: Alexandria, functional PBE-GGA.

Cell lengths 9.0331, 9.0331, 9.0331 Å; angles 18.60, 18.60, 18.60 degrees
Positions (direct):
Al 0.0000 0.0000 0.0000
Al 0.2484 0.2484 0.2484
Mo 0.5012 0.5012 0.5012
Au 0.7464 0.7464 0.7464

## Properties
DOS at the Fermi energy (states/eV/cell): 0.90
Formation energy (eV/atom): -0.025
Volume (A^3/atom): 16.38
Distance to the lowest polymorph of the same formula (meV per atom): 275